# PrSi2Pd

PrSi2Pd after structural relaxation (PBE, Alexandria).

```
data_PrSi2Pd
_chemical_formula_sum 'Pr4 Si8 Pd4'
_cell_length_a 7.3564
_cell_length_b 4.0124
_cell_length_c 10.3533
_cell_angle_alpha 90.00
_cell_angle_beta 90.00
_cell_angle_gamma 90.00
_space_group_name_H-M_alt 'P 1'
_space_group_IT_number 1
loop_
_space_group_symop_operation_xyz
'x,y,z'
loop_
_atom_site_label
_atom_site_type_symbol
_atom_site_fract_x
_atom_site_fract_y
_atom_site_fract_z
Pr1 Pr 0.1370 0.2500 0.1296
Pr2 Pr 0.3630 0.7500 0.6296
Pr3 Pr 0.6370 0.2500 0.3704
Pr4 Pr 0.8630 0.7500 0.8704
Si1 Si 0.1707 0.2500 0.8219
Si2 Si 0.2111 0.2500 0.4289
Si3 Si 0.2889 0.7500 0.9289
Si4 Si 0.3293 0.7500 0.3219
Si5 Si 0.6707 0.2500 0.6781
Si6 Si 0.7111 0.2500 0.0711
Si7 Si 0.7889 0.7500 0.5711
Si8 Si 0.8293 0.7500 0.1781
Pd1 Pd 0.0027 0.2500 0.6180
Pd2 Pd 0.4973 0.7500 0.1180
Pd3 Pd 0.5027 0.2500 0.8820
Pd4 Pd 0.9973 0.7500 0.3820
```

Summary:
total magnetization = 0.0 μB per cell
energy = -6.047 eV/atom
crystal system = orthorhombic



# MgMoH

MgMoH after structural relaxation (PBE, Alexandria).

```
data_MgMoH
_chemical_formula_sum 'Mg2 Mo2 H2'
_cell_length_a 4.7663
_cell_length_b 4.7663
_cell_length_c 4.7663
_cell_angle_alpha 125.08
_cell_angle_beta 87.00
_cell_angle_gamma 118.53
_space_group_name_H-M_alt 'P 1'
_space_group_IT_number 1
loop_
_space_group_symop_operation_xyz
'x,y,z'
loop_
_atom_site_label
_atom_site_type_symbol
_atom_site_fract_x
_atom_site_fract_y
_atom_site_fract_z
Mg1 Mg 0.1421 0.2500 0.3921
Mg2 Mg 0.8579 0.7500 0.6079
Mo1 Mo 0.3875 0.7413 0.1461
Mo2 Mo 0.5952 0.2413 0.8539
H1 H 0.0014 0.6117 0.8897
H2 H 0.7220 0.1117 0.1103
```

Summary:
total magnetization = 0.0 μB per cell
offset from the most stable computed form = 33 meV/atom
energy = -5.160 eV/atom
crystal system = orthorhombic



# LiCePuRu

LiCePuRu after structural relaxation (PBE, Alexandria).

```
data_LiCePuRu
_chemical_formula_sum 'Li1 Ce1 Pu1 Ru1'
_cell_length_a 4.9085
_cell_length_b 4.9085
_cell_length_c 4.9085
_cell_angle_alpha 60.00
_cell_angle_beta 60.00
_cell_angle_gamma 60.00
_space_group_name_H-M_alt 'P 1'
_space_group_IT_number 1
loop_
_space_group_symop_operation_xyz
'x,y,z'
loop_
_atom_site_label
_atom_site_type_symbol
_atom_site_fract_x
_atom_site_fract_y
_atom_site_fract_z
Li1 Li 0.0000 0.0000 0.0000
Ce1 Ce 0.2500 0.2500 0.2500
Pu1 Pu 0.7500 0.7500 0.7500
Ru1 Ru 0.5000 0.5000 0.5000
```

Summary:
formation energy from the elements = -0.04 eV per atom
total magnetization = 6.3 μB per cell
energy = -7.908 eV/atom
crystal system = cubic



# AlRu3Se

AlRu3Se after structural relaxation (PBE, Alexandria).

```
data_AlRu3Se
_chemical_formula_sum 'Al1 Ru3 Se1'
_cell_length_a 4.4856
_cell_length_b 4.4856
_cell_length_c 4.4856
_cell_angle_alpha 90.00
_cell_angle_beta 90.00
_cell_angle_gamma 90.00
_space_group_name_H-M_alt 'P 1'
_space_group_IT_number 1
loop_
_space_group_symop_operation_xyz
'x,y,z'
loop_
_atom_site_label
_atom_site_type_symbol
_atom_site_fract_x
_atom_site_fract_y
_atom_site_fract_z
Al1 Al 0.0000 0.0000 0.0000
Ru1 Ru 0.0000 0.5000 0.5000
Ru2 Ru 0.5000 0.0000 0.5000
Ru3 Ru 0.5000 0.5000 0.0000
Se1 Se 0.5000 0.5000 0.5000
```

Summary:
total magnetization = 0.0 μB per cell
offset from the most stable computed form = 0 meV/atom
energy = -6.209 eV/atom
crystal system = cubic



Copy entry 4 word for word.
# AlRu3Se

AlRu3Se after structural relaxation (PBE, Alexandria).

```
data_AlRu3Se
_chemical_formula_sum 'Al1 Ru3 Se1'
_cell_length_a 4.4856
_cell_length_b 4.4856
_cell_length_c 4.4856
_cell_angle_alpha 90.00
_cell_angle_beta 90.00
_cell_angle_gamma 90.00
_space_group_name_H-M_alt 'P 1'
_space_group_IT_number 1
loop_
_space_group_symop_operation_xyz
'x,y,z'
loop_
_atom_site_label
_atom_site_type_symbol
_atom_site_fract_x
_atom_site_fract_y
_atom_site_fract_z
Al1 Al 0.0000 0.0000 0.0000
Ru1 Ru 0.0000 0.5000 0.5000
Ru2 Ru 0.5000 0.0000 0.5000
Ru3 Ru 0.5000 0.5000 0.0000
Se1 Se 0.5000 0.5000 0.5000
```

Summary:
total magnetization = 0.0 μB per cell
offset from the most stable computed form = 0 meV/atom
energy = -6.209 eV/atom
crystal system = cubic